An optimized crystal structure of Ce3SbP3, computed with GGA-PBE.

As for the volume: 26.79 A^3/atom. The formation energy (no corrections) comes out at -1.016 eV per atom. The magnetization is 0.24 μB per formula unit.

a b c (Å): 7.6626 7.6626 7.6626
angles (deg): 68.48 68.48 68.48
With the nearest neighbours (Å) after each atom.
Positions (direct):
Ce 0.0620 0.4271 0.7623  5 P 2.80-3.06
Ce 0.2376 0.9380 0.5729  5 P 2.80-3.06
Ce 0.4271 0.7624 0.0620  5 P 2.80-3.06
Ce 0.5729 0.2377 0.9380  5 P 2.80-3.06
Ce 0.7623 0.0620 0.4271  5 P 2.80-3.06
Ce 0.9380 0.5729 0.2376  5 P 2.80-3.06
Sb 0.1614 0.1614 0.1614  6 Ce 3.14-3.18, 6 P 3.32-3.48
Sb 0.8386 0.8386 0.8386  6 Ce 3.14-3.18, 6 P 3.32-3.48
P 0.1084 0.7176 0.4020  5 Ce 2.80-3.06
P 0.2824 0.5980 0.8916  5 Ce 2.80-3.06
P 0.4020 0.1084 0.7176  5 Ce 2.80-3.06
P 0.5980 0.8916 0.2824  5 Ce 2.80-3.06
P 0.7176 0.4020 0.1084  5 Ce 2.80-3.06
P 0.8916 0.2824 0.5980  5 Ce 2.80-3.06



An optimized crystal structure of CrRuAu2, computed with GGA-PBE.

As for the volume: 16.13 A^3/atom. The magnetization is 3.09 μB per formula unit. As for the energy above the most stable polymorph in this dataset: 0.205 eV per atom. Its formation energy is 348 meV/atom.

a b c (Å): 4.7775 4.7775 2.9960
angles (deg): 90.00 90.00 109.38
With the nearest neighbours (Å) after each atom.
Positions (direct):
Cr 0.0000 0.0000 0.0000  2 Ru 2.76, 8 Au 2.82, 2 Cr 3.00
Ru 0.5000 0.5000 0.0000  2 Cr 2.76, 8 Au 2.82, 2 Ru 3.00
Au 0.0000 0.5000 0.5000  4 Au 2.76-3.00, 4 Cr 2.82, 4 Ru 2.82
Au 0.5000 0.0000 0.5000  4 Au 2.76-3.00, 4 Cr 2.82, 4 Ru 2.82



An optimized crystal structure of Pa4Ga12Sn, computed with GGA-PBE.

As for the volume: 19.89 A^3/atom. The magnetization is 0.00 μB per formula unit. Its formation energy is -289 meV/atom.

a b c (Å): 7.6018 7.6018 7.6018
angles (deg): 109.47 109.47 109.47
With the nearest neighbours (Å) after each atom.
Positions (direct):
Pa 0.0000 0.0000 0.5000  12 Ga 3.10-3.15
Pa 0.0000 0.5000 0.0000  12 Ga 3.10-3.15
Pa 0.5000 0.0000 0.0000  12 Ga 3.10-3.15
Pa 0.5000 0.5000 0.5000  12 Ga 3.10-3.15
Ga 0.0000 0.3130 0.3130  4 Ga 2.74, 1 Sn 2.75
Ga 0.0000 0.6870 0.6870  4 Ga 2.74, 1 Sn 2.75
Ga 0.2500 0.5000 0.7500  4 Ga 2.74
Ga 0.2500 0.7500 0.5000  4 Ga 2.74
Ga 0.3130 0.0000 0.3130  4 Ga 2.74, 1 Sn 2.75
Ga 0.3130 0.3130 0.0000  4 Ga 2.74, 1 Sn 2.75
Ga 0.5000 0.2500 0.7500  4 Ga 2.74
Ga 0.5000 0.7500 0.2500  4 Ga 2.74
Ga 0.6870 0.0000 0.6870  4 Ga 2.74, 1 Sn 2.75
Ga 0.6870 0.6870 0.0000  4 Ga 2.74, 1 Sn 2.75
Ga 0.7500 0.2500 0.5000  4 Ga 2.74
Ga 0.7500 0.5000 0.2500  4 Ga 2.74
Sn 0.0000 0.0000 0.0000  6 Ga 2.75



An optimized crystal structure of InHg3Pd12, computed with GGA-PBE.

As for the volume: 16.59 A^3/atom. The magnetization is 0.00 μB per formula unit. Its formation energy is -182 meV/atom.

a b c (Å): 4.0426 4.0426 16.2443
angles (deg): 90.00 90.00 90.00
With the nearest neighbours (Å) after each atom.
Positions (direct):
In 0.0000 0.0000 0.0000  12 Pd 2.84-2.86
Hg 0.0000 0.0000 0.2490  12 Pd 2.86-2.88
Hg 0.0000 0.0000 0.5000  12 Pd 2.86-2.87
Hg 0.0000 0.0000 0.7510  12 Pd 2.86-2.88
Pd 0.0000 0.5000 0.1230  2 In 2.84, 8 Pd 2.84-2.88, 2 Hg 2.88
Pd 0.0000 0.5000 0.3748  8 Pd 2.86-2.87, 4 Hg 2.87
Pd 0.0000 0.5000 0.6252  8 Pd 2.86-2.87, 4 Hg 2.87
Pd 0.0000 0.5000 0.8770  2 In 2.84, 8 Pd 2.84-2.88, 2 Hg 2.88
Pd 0.5000 0.0000 0.1230  2 In 2.84, 8 Pd 2.84-2.88, 2 Hg 2.88
Pd 0.5000 0.0000 0.3748  8 Pd 2.86-2.87, 4 Hg 2.87
Pd 0.5000 0.0000 0.6252  8 Pd 2.86-2.87, 4 Hg 2.87
Pd 0.5000 0.0000 0.8770  2 In 2.84, 8 Pd 2.84-2.88, 2 Hg 2.88
Pd 0.5000 0.5000 0.0000  8 Pd 2.84, 4 In 2.86
Pd 0.5000 0.5000 0.2493  4 Hg 2.86, 8 Pd 2.87-2.88
Pd 0.5000 0.5000 0.5000  4 Hg 2.86, 8 Pd 2.87
Pd 0.5000 0.5000 0.7507  4 Hg 2.86, 8 Pd 2.87-2.88